[1]
YCrSb2 | PBE | relaxed

Cell: 6.9160 6.9160 6.9160 Å, 35.47 35.47 35.47°
Sites, in units of the cell vectors:
1 Y 0.0000 0.0000 0.0000
2 Cr 0.5000 0.5000 0.5000
3 Sb 0.2357 0.2357 0.2357
4 Sb 0.7643 0.7643 0.7643

## Properties
Space-group type ... R-3m, No. 166
Theoretical density ... 6.4 Mg/m³

=====

[2]
YCr2Sb | PBE | relaxed

Cell: 4.9370 4.9370 4.9370 Å, 60.00 60.00 60.00°
Sites, in units of the cell vectors:
1 Y 0.0000 0.0000 0.0000
2 Cr 0.2500 0.2500 0.2500
3 Cr 0.5000 0.5000 0.5000
4 Sb 0.7500 0.7500 0.7500

## Properties
Space-group type ... F-43m, No. 216
Theoretical density ... 6.1 Mg/m³

=====

[3]
YCrSb2 | PBE | relaxed

Cell: 4.1601 4.1601 6.0256 Å, 90.00 90.00 90.00°
Sites, in units of the cell vectors:
1 Y 0.0000 0.0000 0.0000
2 Cr 0.5000 0.5000 0.4084
3 Sb 0.0000 0.0000 0.4906
4 Sb 0.5000 0.5000 0.8996

## Properties
Space-group type ... P4mm, No. 99
Theoretical density ... 6.1 Mg/m³

=====

[4]
Y3CrSb | PBE | relaxed

Cell: 5.1457 5.1457 5.1457 Å, 90.00 90.00 90.00°
Sites, in units of the cell vectors:
1 Y 0.0000 0.0000 0.5000
2 Y 0.0000 0.5000 0.0000
3 Y 0.5000 0.0000 0.0000
4 Cr 0.0000 0.0000 0.0000
5 Sb 0.5000 0.5000 0.5000

## Properties
Space-group type ... Pm-3m, No. 221
Theoretical density ... 5.4 Mg/m³

=====

[5]
YCrSb2 | PBE | relaxed

Cell: 3.4810 4.1173 6.9220 Å, 90.00 98.99 90.00°
Sites, in units of the cell vectors:
1 Y 0.0000 0.0000 0.0000
2 Cr 0.5000 0.0000 0.5000
3 Sb 0.3200 0.5000 0.7316
4 Sb 0.6800 0.5000 0.2684

## Properties
Space-group type ... P2/m, No. 10
Theoretical density ... 6.5 Mg/m³

=====

[6]
YCr2Sb | PBE | relaxed

Cell: 4.1482 4.6062 4.6942 Å, 90.00 90.07 90.00°
Sites, in units of the cell vectors:
1 Y 0.0000 0.0000 0.0000
2 Cr 0.4991 0.5000 0.8053
3 Cr 0.5009 0.5000 0.1947
4 Sb 0.5000 0.0000 0.5000

## Properties
Space-group type ... P2/m, No. 10
Theoretical density ... 5.8 Mg/m³

=====

[7]
YCr4Sb | PBE | relaxed

Cell: 5.0887 5.0887 5.0887 Å, 60.00 60.00 60.00°
Sites, in units of the cell vectors:
1 Y 0.0000 0.0000 0.0000
2 Cr 0.1287 0.6238 0.6238
3 Cr 0.6238 0.1287 0.6238
4 Cr 0.6238 0.6238 0.1287
5 Cr 0.6238 0.6238 0.6238
6 Sb 0.2500 0.2500 0.2500

## Properties
Space-group type ... F-43m, No. 216
Theoretical density ... 7.5 Mg/m³

=====

[8]
YCr2Sb | PBE | relaxed

Cell: 5.9059 5.9059 3.2217 Å, 104.22 104.22 117.39°
Sites, in units of the cell vectors:
1 Y 0.0000 0.0000 0.0000
2 Cr 0.0000 0.5000 0.5000
3 Cr 0.5000 0.0000 0.5000
4 Sb 0.5000 0.5000 0.0000

## Properties
Space-group type ... C2/m, No. 12
Theoretical density ... 5.9 Mg/m³

=====

[9]
Y2CrSb2 | PBE | relaxed

Cell: 7.6268 7.6268 4.3826 Å, 90.00 90.00 90.00°
Sites, in units of the cell vectors:
1 Y 0.1606 0.3394 0.0000
2 Y 0.3394 0.8394 0.0000
3 Y 0.6606 0.1606 0.0000
4 Y 0.8394 0.6606 0.0000
5 Cr 0.0000 0.0000 0.5000
6 Cr 0.5000 0.5000 0.5000
7 Sb 0.1494 0.6494 0.5000
8 Sb 0.3506 0.1494 0.5000
9 Sb 0.6494 0.8506 0.5000
10 Sb 0.8506 0.3506 0.5000

## Properties
Space-group type ... P4/mbm, No. 127
Theoretical density ... 6.2 Mg/m³

=====

[10]
YCr2Sb | PBE | relaxed

Cell: 9.4525 9.4525 9.4525 Å, 20.24 20.24 20.24°
Sites, in units of the cell vectors:
1 Y 0.0000 0.0000 0.0000
2 Cr 0.2437 0.2437 0.2437
3 Cr 0.7563 0.7563 0.7563
4 Sb 0.5000 0.5000 0.5000

## Properties
Space-group type ... R-3m, No. 166
Theoretical density ... 5.9 Mg/m³

=====

[11]
YCrSb | PBE | relaxed

Cell: 5.8406 5.8406 5.8406 Å, 144.47 144.47 51.13°
Sites, in units of the cell vectors:
1 Y 0.0000 0.0000 0.0000
2 Cr 0.3129 0.3129 0.0000
3 Sb 0.7005 0.7005 0.0000

## Properties
Space-group type ... I4mm, No. 107
Theoretical density ... 6.5 Mg/m³

=====

[12]
YCrSb2 | PBE | relaxed

Cell: 4.9707 4.9707 4.9707 Å, 60.00 60.00 60.00°
Sites, in units of the cell vectors:
1 Y 0.0000 0.0000 0.0000
2 Cr 0.5000 0.5000 0.5000
3 Sb 0.2500 0.2500 0.2500
4 Sb 0.7500 0.7500 0.7500

## Properties
Space-group type ... Fm-3m, No. 225
Theoretical density ... 7.4 Mg/m³

=====

[13]
ZnCrSb | PBE | relaxed

Cell: 4.3930 4.3930 3.4988 Å, 90.00 90.00 120.00°
Sites, in units of the cell vectors:
1 Zn 0.0000 0.0000 0.0000
2 Cr 0.6667 0.3333 0.1850
3 Sb 0.3333 0.6667 0.6108

## Properties
Space-group type ... P3m1, No. 156
Theoretical density ... 6.8 Mg/m³

=====

[14]
ZnCrSb | PBE | relaxed

Cell: 3.2791 3.2791 6.4388 Å, 90.00 90.00 120.00°
Sites, in units of the cell vectors:
1 Zn 0.0000 0.0000 0.0000
2 Cr 0.6667 0.3333 0.2999
3 Sb 0.3333 0.6667 0.6220

## Properties
Space-group type ... P3m1, No. 156
Theoretical density ... 6.6 Mg/m³

=====

[15]
Zn2CrSb | PBE | relaxed

Cell: 5.6989 5.6989 3.3278 Å, 105.12 105.12 124.50°
Sites, in units of the cell vectors:
1 Zn 0.0000 0.5000 0.0000
2 Zn 0.5000 0.0000 0.0000
3 Cr 0.0000 0.0000 0.0000
4 Sb 0.5000 0.5000 0.0000

## Properties
Space-group type ... C2/m, No. 12
Theoretical density ... 6.9 Mg/m³

=====

[16]
ZnCrSb | PBE | relaxed

Cell: 4.9452 4.9452 4.9452 Å, 140.09 140.09 57.72°
Sites, in units of the cell vectors:
1 Zn 0.0000 0.0000 0.0000
2 Cr 0.6574 0.6574 0.0000
3 Sb 0.3160 0.3160 0.0000

## Properties
Space-group type ... I4mm, No. 107
Theoretical density ... 8.0 Mg/m³

=====

[17]
Zn3CrSb | PBE | relaxed

Cell: 4.7170 4.7170 4.7170 Å, 90.00 90.00 90.00°
Sites, in units of the cell vectors:
1 Zn 0.0000 0.0000 0.5000
2 Zn 0.0000 0.5000 0.0000
3 Zn 0.5000 0.0000 0.0000
4 Cr 0.0000 0.0000 0.0000
5 Sb 0.5000 0.5000 0.5000

## Properties
Space-group type ... Pm-3m, No. 221
Theoretical density ... 5.9 Mg/m³

=====

[18]
Zn2CrSb | PBE | relaxed

Cell: 3.1368 4.9559 4.7789 Å, 90.00 94.29 90.00°
Sites, in units of the cell vectors:
1 Zn 0.2138 0.0000 0.2764
2 Zn 0.7862 0.0000 0.7236
3 Cr 0.5000 0.5000 0.5000
4 Sb 0.0000 0.5000 0.0000

## Properties
Space-group type ... P2/m, No. 10
Theoretical density ... 6.8 Mg/m³

=====

[19]
ZnCr2Sb | PBE | relaxed

Cell: 4.7543 4.7543 4.7543 Å, 128.21 128.21 76.29°
Sites, in units of the cell vectors:
1 Zn 0.0000 0.0000 0.0000
2 Cr 0.2500 0.7500 0.5000
3 Cr 0.7500 0.2500 0.5000
4 Sb 0.5000 0.5000 0.0000

## Properties
Space-group type ... I4/mmm, No. 139
Theoretical density ... 7.5 Mg/m³

=====

[20]
Zn2CrSb | PBE | relaxed

Cell: 6.0541 6.0541 6.0541 Å, 100.92 100.92 128.39°
Sites, in units of the cell vectors:
1 Zn 0.1171 0.6250 0.9921
2 Zn 0.3750 0.3671 0.4921
3 Zn 0.6329 0.1250 0.0079
4 Zn 0.8750 0.8829 0.5079
5 Cr 0.0000 0.0000 0.0000
6 Cr 0.7500 0.2500 0.5000
7 Sb 0.2500 0.7500 0.5000
8 Sb 0.5000 0.5000 0.0000

## Properties
Space-group type ... I-42d, No. 122
Theoretical density ... 6.5 Mg/m³

=====

[21]
ZnCr2Sb | PBE | relaxed

Cell: 3.3100 3.3100 6.0851 Å, 90.00 90.00 90.00°
Sites, in units of the cell vectors:
1 Zn 0.0000 0.0000 0.0000
2 Cr 0.0000 0.0000 0.4284
3 Cr 0.5000 0.5000 0.2245
4 Sb 0.5000 0.5000 0.6992

## Properties
Space-group type ... P4mm, No. 99
Theoretical density ... 7.3 Mg/m³

=====

[22]
ZnCr2Sb | PBE | relaxed

Cell: 3.0124 3.0124 7.7655 Å, 90.00 90.00 90.00°
Sites, in units of the cell vectors:
1 Zn 0.0000 0.0000 0.0000
2 Cr 0.0000 0.0000 0.3562
3 Cr 0.5000 0.5000 0.2071
4 Sb 0.5000 0.5000 0.5999

## Properties
Space-group type ... P4mm, No. 99
Theoretical density ... 6.9 Mg/m³

=====

[23]
ZnCr2Sb | PBE | relaxed

Cell: 9.5684 9.5684 9.5684 Å, 157.16 157.16 32.53°
Sites, in units of the cell vectors:
1 Zn 0.0000 0.0000 0.0000
2 Zn 0.7500 0.2500 0.5000
3 Cr 0.0513 0.6250 0.9263
4 Cr 0.3750 0.3013 0.4263
5 Cr 0.6987 0.1250 0.0737
6 Cr 0.8750 0.9487 0.5737
7 Sb 0.2500 0.7500 0.5000
8 Sb 0.5000 0.5000 0.0000

## Properties
Space-group type ... I-42d, No. 122
Theoretical density ... 7.3 Mg/m³

=====

[24]
ZnCr2Sb | PBE | relaxed

Cell: 4.4326 4.4326 4.4326 Å, 60.00 60.00 60.00°
Sites, in units of the cell vectors:
1 Zn 0.0000 0.0000 0.0000
2 Cr 0.2500 0.2500 0.2500
3 Cr 0.7500 0.7500 0.7500
4 Sb 0.5000 0.5000 0.5000

## Properties
Space-group type ... Fm-3m, No. 225
Theoretical density ... 7.9 Mg/m³

=====

[25]
ZnCr2Sb | PBE | relaxed

Cell: 4.5514 4.5514 4.5514 Å, 60.00 60.00 60.00°
Sites, in units of the cell vectors:
1 Zn 0.0000 0.0000 0.0000
2 Cr 0.2500 0.2500 0.2500
3 Cr 0.5000 0.5000 0.5000
4 Sb 0.7500 0.7500 0.7500

## Properties
Space-group type ... F-43m, No. 216
Theoretical density ... 7.3 Mg/m³

=====

[26]
ZnCr3Sb | PBE | relaxed

Cell: 4.6547 4.6547 4.6547 Å, 90.00 90.00 90.00°
Sites, in units of the cell vectors:
1 Zn 0.0000 0.0000 0.0000
2 Cr 0.0000 0.0000 0.5000
3 Cr 0.0000 0.5000 0.0000
4 Cr 0.5000 0.0000 0.0000
5 Sb 0.5000 0.5000 0.5000

## Properties
Space-group type ... Pm-3m, No. 221
Theoretical density ... 5.7 Mg/m³

=====

[27]
ZnCr2Sb | PBE | relaxed

Cell: 8.6703 8.6703 8.6703 Å, 19.92 19.92 19.92°
Sites, in units of the cell vectors:
1 Zn 0.0000 0.0000 0.0000
2 Cr 0.4730 0.4730 0.4730
3 Cr 0.7474 0.7474 0.7474
4 Sb 0.2275 0.2275 0.2275

## Properties
Space-group type ... R3m, No. 160
Theoretical density ... 7.3 Mg/m³

=====

[28]
Zn2CrSb | PBE | relaxed

Cell: 4.5697 3.3010 5.0691 Å, 90.00 108.71 90.00°
Sites, in units of the cell vectors:
1 Zn 0.0000 0.0000 0.0000
2 Zn 0.5000 0.5000 0.0000
3 Cr 0.0000 0.5000 0.5000
4 Sb 0.5000 0.0000 0.5000

## Properties
Space-group type ... P2/m, No. 10
Theoretical density ... 7.0 Mg/m³

=====

[29]
ZnCrSb4 | PBE | relaxed

Cell: 6.1908 6.1908 6.1908 Å, 60.00 60.00 60.00°
Sites, in units of the cell vectors:
1 Zn 0.0000 0.0000 0.0000
2 Cr 0.7500 0.7500 0.7500
3 Sb 0.3740 0.3740 0.3740
4 Sb 0.3740 0.3740 0.8780
5 Sb 0.3740 0.8780 0.3740
6 Sb 0.8780 0.3740 0.3740

## Properties
Space-group type ... F-43m, No. 216
Theoretical density ... 6.0 Mg/m³

=====

[30]
ZnCr2Sb | PBE | relaxed

Cell: 8.2981 8.2981 8.2981 Å, 22.27 22.27 22.27°
Sites, in units of the cell vectors:
1 Zn 0.0000 0.0000 0.0000
2 Cr 0.2536 0.2536 0.2536
3 Cr 0.7464 0.7464 0.7464
4 Sb 0.5000 0.5000 0.5000

## Properties
Space-group type ... R-3m, No. 166
Theoretical density ... 6.7 Mg/m³

=====

| no. | total DFT energy (no corrections) (eV/cell) | formation energy from raw total energies (eV per formula unit) |
| --- | --- | --- |
| 1 | -26.07 | -1.73 |
| 2 | -29.03 | 0.80 |
| 3 | -25.45 | -1.11 |
| 4 | -32.45 | 0.69 |
| 5 | -25.23 | -0.90 |
| 6 | -28.69 | 1.15 |
| 7 | -47.60 | 1.48 |
| 8 | -28.10 | 1.73 |
| 9 | -66.99 | -2.70 |
| 10 | -27.50 | 2.33 |
| 11 | -20.44 | -0.23 |
| 12 | -24.23 | 0.10 |
| 13 | -13.90 | 1.12 |
| 14 | -13.83 | 1.19 |
| 15 | -15.22 | 1.08 |
| 16 | -14.09 | 0.93 |
| 17 | -13.18 | 4.39 |
| 18 | -15.18 | 1.11 |
| 19 | -23.35 | 1.29 |
| 20 | -29.41 | 1.59 |
| 21 | -23.54 | 1.11 |
| 22 | -23.61 | 1.03 |
| 23 | -44.09 | 2.60 |
| 24 | -23.27 | 1.37 |
| 25 | -23.21 | 1.44 |
| 26 | -29.06 | 5.20 |
| 27 | -23.05 | 1.59 |
| 28 | -15.28 | 1.02 |
| 29 | -23.72 | 3.66 |
| 30 | -22.58 | 2.07 |